Entry 1:
# Ac8IrPt5

Crystalline Ac8IrPt5 at its relaxed geometry (GGA-PBE, Alexandria via LeMat-Bulk).

```
data_Ac8IrPt5
_cell_length_a 9.4531
_cell_length_b 9.4531
_cell_length_c 9.5154
_cell_angle_alpha 90.00
_cell_angle_beta 90.00
_cell_angle_gamma 90.00
_space_group_name_H-M_alt 'I -4'
_space_group_IT_number 82
loop_
_space_group_symop_operation_xyz
'x,y,z'
'y,-x,-z'
'-x,-y,z'
'-y,x,-z'
'x+1/2,y+1/2,z+1/2'
'y+1/2,-x+1/2,-z+1/2'
'-x+1/2,-y+1/2,z+1/2'
'-y+1/2,x+1/2,-z+1/2'
loop_
_atom_site_label
_atom_site_type_symbol
_atom_site_fract_x
_atom_site_fract_y
_atom_site_fract_z
Ac1 Ac 0.0565 0.1971 0.3159
Ac2 Ac 0.0575 0.3099 0.9353
Ir1 Ir 0.0000 0.5000 0.2500
Pt1 Pt 0.0000 0.0000 0.0000
Pt2 Pt 0.1214 0.2511 0.6259
```

* final energy: -6.096 eV/atom
* energy of formation from the pure elements: -0.958 eV/atom

Entry 2:
# Ac4Ir2Pt

Crystalline Ac4Ir2Pt at its relaxed geometry (GGA-PBE, Alexandria via LeMat-Bulk).

```
data_Ac4Ir2Pt
_cell_length_a 4.2916
_cell_length_b 14.2287
_cell_length_c 14.5027
_cell_angle_alpha 90.00
_cell_angle_beta 90.00
_cell_angle_gamma 90.00
_space_group_name_H-M_alt 'C m c m'
_space_group_IT_number 63
_space_group_name_Hall '-C 2c 2'
loop_
_atom_site_label
_atom_site_type_symbol
_atom_site_fract_x
_atom_site_fract_y
_atom_site_fract_z
Ac1 Ac 0.0000 0.0000 0.0000
Ac2 Ac 0.0000 0.2722 0.1169
Ac3 Ac 0.0000 0.4610 0.7500
Ir1 Ir 0.0000 0.3679 0.5669
Pt1 Pt 0.0000 0.1152 0.7500
```

* final energy: -6.511 eV/atom
* energy of formation from the pure elements: -0.768 eV/atom
* polymorph energy (0 for the lowest one): 0.000 eV/atom

What M_tot values result from the calculations? In sequence: 0.00 0.00 μB/cell.